# 1
Density functional theory data (PBE) for Th2TiGe3Ir4 after structural relaxation.

abc: 4.1982 4.1982 10.6643
angles: 90.00 90.00 90.00
Space group P-4m2 (No. 115)
Unique sites:
Th 0.0000 0.5000 0.2459 (multiplicity 2)
Ti 0.0000 0.0000 0.5000 (multiplicity 1)
Ge 0.0000 0.5000 0.8703 (multiplicity 2)
Ge 0.5000 0.5000 0.5000 (multiplicity 1)
Ir 0.0000 0.0000 0.0000 (multiplicity 1)
Ir 0.0000 0.5000 0.6391 (multiplicity 2)
Ir 0.5000 0.5000 0.0000 (multiplicity 1)

ρ = 13241 kg/m³
N(E_F) = 8.1 states/eV per cell


# 2
Density functional theory data (PBE) for Tm2Th2GeIr4 after structural relaxation.

abc: 6.5219 6.5219 9.3640
angles: 90.00 90.00 90.00
Space group I4/mmm (No. 139)
Unique sites:
Tm 0.0000 0.5000 0.2500 (multiplicity 4)
Th 0.0000 0.0000 0.1909 (multiplicity 4)
Ge 0.0000 0.0000 0.5000 (multiplicity 2)
Ir 0.2360 0.2360 0.0000 (multiplicity 8)

ρ = 13703 kg/m³
N(E_F) = 15.1 states/eV per cell


# 3
Density functional theory data (PBE) for TmTh2Ge3Ir4 after structural relaxation.

abc: 4.1595 4.1595 11.4385
angles: 90.00 90.00 90.00
Space group P-4m2 (No. 115)
Unique sites:
Tm 0.0000 0.0000 0.0000 (multiplicity 1)
Th 0.0000 0.5000 0.7316 (multiplicity 2)
Ge 0.0000 0.5000 0.3784 (multiplicity 2)
Ge 0.5000 0.5000 0.0000 (multiplicity 1)
Ir 0.0000 0.0000 0.5000 (multiplicity 1)
Ir 0.0000 0.5000 0.1634 (multiplicity 2)
Ir 0.5000 0.5000 0.5000 (multiplicity 1)

ρ = 13591 kg/m³
N(E_F) = 5.5 states/eV per cell


Computed M_tot, in the same sequence as the records: 0.00; 0.00; 0.00 μB per formula unit.
Computed total DFT energy (no corrections), in the same sequence as the records: -8.050; -7.411; -7.699 eV/atom.